(1)
The following is a DFT calculation (GGA-PBE) of a relaxed PrNdSc crystal.

Cell: 5.6046 5.6040 7.0772 Å, 90.00 90.00 120.00°
With the nearest neighbours (Å) after each atom.
Fractional coordinates of all 6 atoms:
Sc 0.3329 0.6657 0.7500  5 Pr 3.23-3.54
Sc 0.6671 0.3343 0.2500  5 Pr 3.23-3.54
Nd 0.0000 0.0000 0.5000  2 Nd 3.54, 6 Sc 3.68-3.69, 6 Pr 3.69
Nd 0.0000 0.0000 0.0000  2 Nd 3.54, 6 Sc 3.68-3.69, 6 Pr 3.69
Pr 0.3336 0.6673 0.2500  5 Sc 3.23-3.54
Pr 0.6664 0.3327 0.7500  5 Sc 3.23-3.54

Results
Magnetic moment = 0.00 Bohr magnetons per cell
Energy relative to the lowest polymorph listed for this composition = 8.6 kJ/mol of formula units
Uncorrected energy = -31.2 eV/cell
ρ = 5.7 Mg/m³
Space-group type = Cmcm, No. 63


(2)
The following is a DFT calculation (GGA-PBE) of a relaxed RbCd11Ag crystal.

Cell: 5.9968 7.8825 7.8826 Å, 81.36 67.64 66.75°
With the nearest neighbours (Å) after each atom.
Fractional coordinates of all 13 atoms:
Rb 0.0000 0.0000 0.0000  18 Cd 3.64-3.94, 2 Ag 3.90
Cd 0.3695 0.6423 0.6495  7 Cd 3.01-3.30, 1 Ag 3.09
Cd 0.0190 0.6423 0.3505  7 Cd 3.01-3.30, 1 Ag 3.09
Cd 0.0000 0.0000 0.5000  10 Cd 2.99-3.21
Cd 0.4975 0.7780 0.2173  8 Cd 2.97-3.30, 1 Ag 2.97
Cd 0.2852 0.2220 0.2173  8 Cd 2.97-3.30, 1 Ag 2.97
Cd 0.9810 0.3577 0.6495  7 Cd 3.01-3.30, 1 Ag 3.09
Cd 0.6305 0.3577 0.3505  7 Cd 3.01-3.30, 1 Ag 3.09
Cd 0.5000 0.0000 0.5000  10 Cd 2.99-3.21
Cd 0.7148 0.7780 0.7827  8 Cd 2.97-3.30, 1 Ag 2.97
Cd 0.5025 0.2220 0.7827  8 Cd 2.97-3.30, 1 Ag 2.97
Cd 0.0000 0.5000 0.0000  8 Cd 2.97-3.19, 2 Ag 3.00
Ag 0.5000 0.5000 0.0000  10 Cd 2.97-3.09

Results
Magnetic moment = 0.00 Bohr magnetons per cell
Uncorrected energy = -14.2 eV/cell
ρ = 7.5 Mg/m³
Space-group type = C2/m, No. 12


(3)
The following is a DFT calculation (GGA-PBE) of a relaxed Ca4InGe crystal.

Cell: 6.1831 8.4169 8.4169 Å, 113.08 101.15 101.15°
With the nearest neighbours (Å) after each atom.
Fractional coordinates of all 12 atoms:
Ca 0.4391 0.7113 0.0570  2 Ge 3.02-3.08, 1 In 3.30
Ca 0.5609 0.2887 0.9430  2 Ge 3.02-3.08, 1 In 3.30
Ca 0.6514 0.2204 0.3659  2 Ge 3.13-3.17, 1 In 3.40
Ca 0.8486 0.6341 0.7796  2 Ge 3.13-3.17, 1 In 3.40
Ca 0.0609 0.9430 0.2887  2 Ge 3.02-3.08, 1 In 3.30
Ca 0.9391 0.0570 0.7113  2 Ge 3.02-3.08, 1 In 3.30
Ca 0.3486 0.7796 0.6341  2 Ge 3.13-3.17, 1 In 3.40
Ca 0.1514 0.3659 0.2204  2 Ge 3.13-3.17, 1 In 3.40
Ge 0.2500 0.9976 0.0024  8 Ca 3.02-3.17, 2 Ge 3.09
Ge 0.7500 0.0024 0.9976  8 Ca 3.02-3.17, 2 Ge 3.09
In 0.7500 0.6326 0.3674  8 Ca 3.30-3.62
In 0.2500 0.3674 0.6326  8 Ca 3.30-3.62

Results
Magnetic moment = 0.00 Bohr magnetons per cell
Uncorrected energy = -36.1 eV/cell
ρ = 3.1 Mg/m³
Space-group type = C2/c, No. 15


Copy entry 1 word for word.
The following is a DFT calculation (GGA-PBE) of a relaxed PrNdSc crystal.

Cell: 5.6046 5.6040 7.0772 Å, 90.00 90.00 120.00°
With the nearest neighbours (Å) after each atom.
Fractional coordinates of all 6 atoms:
Sc 0.3329 0.6657 0.7500  5 Pr 3.23-3.54
Sc 0.6671 0.3343 0.2500  5 Pr 3.23-3.54
Nd 0.0000 0.0000 0.5000  2 Nd 3.54, 6 Sc 3.68-3.69, 6 Pr 3.69
Nd 0.0000 0.0000 0.0000  2 Nd 3.54, 6 Sc 3.68-3.69, 6 Pr 3.69
Pr 0.3336 0.6673 0.2500  5 Sc 3.23-3.54
Pr 0.6664 0.3327 0.7500  5 Sc 3.23-3.54

Results
Magnetic moment = 0.00 Bohr magnetons per cell
Energy relative to the lowest polymorph listed for this composition = 8.6 kJ/mol of formula units
Uncorrected energy = -31.2 eV/cell
ρ = 5.7 Mg/m³
Space-group type = Cmcm, No. 63